{
  "formula": "Hf2Nb2Au",
  "functional": "PBE-GGA",
  "state": "relaxed",
  "polymorph_energy_mev_per_atom": 0,
  "formation_energy_kj_per_mol_atoms": -10.3,
  "magnetic_moment_mub_per_cell": 0.00,
  "total_energy_ev_per_cell": -87.719,
  "rho_g_cm3": 12.57,
  "cell": [[14.5286, 0.0000, 0.0000], [0.0000, 4.3993, 0.0000], [-0.0007, 0.0000, 3.0576]],
  "species": ["Hf", "Hf", "Hf", "Hf", "Nb", "Nb", "Nb", "Nb", "Au", "Au"],
  "frac_coords": [[0.1032, 0.0000, 0.0213], [0.3968, 0.5000, 0.9787], [0.6032, 0.5000, 0.0213], [0.8968, 0.0000, 0.9787], [0.2088, 0.5000, 0.6382], [0.2912, 0.0000, 0.3618], [0.7088, 0.0000, 0.6382], [0.7912, 0.5000, 0.3618], [0.0000, 0.5000, 0.5000], [0.5000, 0.0000, 0.5000]]
}

{
  "formula": "Tl2AsPt",
  "functional": "PBE-GGA",
  "state": "relaxed",
  "polymorph_energy_mev_per_atom": 469,
  "formation_energy_kj_per_mol_atoms": 27.6,
  "magnetic_moment_mub_per_cell": 0.00,
  "total_energy_ev_per_cell": -14.278,
  "rho_g_cm3": 12.65,
  "cell": [[4.1019, 0.0000, 0.0000], [0.0000, 4.3480, 0.0000], [0.0000, 0.0000, 4.9962]],
  "species": ["Tl", "Tl", "As", "Pt"],
  "frac_coords": [[0.0000, 0.0000, 0.0000], [0.0000, 0.5000, 0.5000], [0.5000, 0.0000, 0.5000], [0.5000, 0.5000, 0.0000]]
}

{
  "formula": "ZrCrAgS4",
  "functional": "PBE-GGA",
  "state": "relaxed",
  "formation_energy_uncorrected_ev_per_atom": -0.819,
  "polymorph_energy_mev_per_atom": 96,
  "magnetic_moment_mub_per_cell": 12.00,
  "total_energy_ev_per_cell": -173.051,
  "rho_g_cm3": 4.65,
  "cell": [[12.4383, 0.0000, 0.0000], [0.0000, 3.6316, 0.0000], [0.0000, 0.0000, 12.0072]],
  "species": ["Zr", "Zr", "Zr", "Zr", "Cr", "Cr", "Cr", "Cr", "Ag", "Ag", "Ag", "Ag", "S", "S", "S", "S", "S", "S", "S", "S", "S", "S", "S", "S", "S", "S", "S", "S"],
  "frac_coords": [[0.1714, 0.2500, 0.2128], [0.3286, 0.7500, 0.7128], [0.6714, 0.2500, 0.2872], [0.8286, 0.7500, 0.7872], [0.0997, 0.2500, 0.5759], [0.4003, 0.7500, 0.0759], [0.5997, 0.2500, 0.9241], [0.9003, 0.7500, 0.4241], [0.1196, 0.7500, 0.9079], [0.3804, 0.2500, 0.4079], [0.6196, 0.7500, 0.5921], [0.8804, 0.2500, 0.0921], [0.0310, 0.2500, 0.3843], [0.0661, 0.7500, 0.1146], [0.1851, 0.2500, 0.7606], [0.2156, 0.7500, 0.5308], [0.2844, 0.2500, 0.0308], [0.3149, 0.7500, 0.2606], [0.4339, 0.2500, 0.6146], [0.4690, 0.7500, 0.8843], [0.5310, 0.2500, 0.1157], [0.5661, 0.7500, 0.3854], [0.6851, 0.2500, 0.7394], [0.7156, 0.7500, 0.9692], [0.7844, 0.2500, 0.4692], [0.8149, 0.7500, 0.2394], [0.9339, 0.2500, 0.8854], [0.9690, 0.7500, 0.6157]]
}

{
  "formula": "LiCeCdIn",
  "functional": "PBE-GGA",
  "state": "relaxed",
  "polymorph_energy_mev_per_atom": 0,
  "formation_energy_kj_per_mol_atoms": -25.2,
  "magnetic_moment_mub_per_cell": 3.67,
  "total_energy_ev_per_cell": -50.181,
  "rho_g_cm3": 6.31,
  "cell": [[7.3300, 0.0000, 0.0000], [0.0000, 7.3300, 0.0000], [0.0000, 0.0000, 7.3300]],
  "species": ["Li", "Li", "Li", "Li", "Ce", "Ce", "Ce", "Ce", "Cd", "Cd", "Cd", "Cd", "In", "In", "In", "In"],
  "frac_coords": [[0.0000, 0.0000, 0.0000], [0.0000, 0.5000, 0.5000], [0.5000, 0.0000, 0.5000], [0.5000, 0.5000, 0.0000], [0.0000, 0.0000, 0.5000], [0.0000, 0.5000, 0.0000], [0.5000, 0.0000, 0.0000], [0.5000, 0.5000, 0.5000], [0.2500, 0.2500, 0.2500], [0.2500, 0.7500, 0.7500], [0.7500, 0.2500, 0.7500], [0.7500, 0.7500, 0.2500], [0.2500, 0.2500, 0.7500], [0.2500, 0.7500, 0.2500], [0.7500, 0.2500, 0.2500], [0.7500, 0.7500, 0.7500]]
}